Entry 1:
The following is a DFT calculation (meta-GGA SCAN) of FeNiPt2 at its PBEsol-relaxed geometry.

Unit cell a=8.631 b=2.681 c=4.652 alpha=90.00 beta=100.31 gamma=90.00
Space group C2/m (No. 12)
One atom of each set of equivalent atoms:
Fe (0.000, 0.000, 0.000)
Ni (0.000, 0.500, 0.500)
Pt (0.250, 0.000, 0.749)

DOS(E_F), states/eV per cell: 5.5
Electronic total energy, eV per formula unit: -175.67
ΔH_f (0 K), meV/atom: -245

Entry 2:
The following is a DFT calculation (meta-GGA SCAN) of Y2ZnNi at its PBEsol-relaxed geometry.

Unit cell a=3.408 b=3.408 c=6.896 alpha=90.00 beta=90.00 gamma=90.00
Space group P4/mmm (No. 123)
One atom of each set of equivalent atoms:
Y (0.000, 0.000, 0.234)
Zn (0.500, 0.500, 0.500)
Ni (0.500, 0.500, 0.000)

DOS(E_F), states/eV per cell: 2.8
Electronic total energy, eV per formula unit: -87.06
ΔH_f (0 K), meV/atom: -421

Entry 3:
The following is a DFT calculation (meta-GGA SCAN) of TeRu2Pt at its PBEsol-relaxed geometry.

Unit cell a=6.339 b=6.339 c=6.339 alpha=90.00 beta=90.00 gamma=90.00
Space group F-43m (No. 216)
One atom of each set of equivalent atoms:
Te (0.000, 0.000, 0.000)
Ru (0.000, 0.000, 0.500)
Ru (0.250, 0.250, 0.750)
Pt (0.250, 0.250, 0.250)

E_form (uncorrected), eV/atom: 0.479
DOS(E_F), states/eV per cell: 13.6
Electronic total energy, eV per formula unit: -175.18

Entry 4:
The following is a DFT calculation (meta-GGA SCAN) of NaPtPb2 at its PBEsol-relaxed geometry.

Unit cell a=7.008 b=7.008 c=7.008 alpha=90.00 beta=90.00 gamma=90.00
Space group Fm-3m (No. 225)
One atom of each set of equivalent atoms:
Na (0.000, 0.000, 0.000)
Pt (0.000, 0.000, 0.500)
Pb (0.250, 0.250, 0.250)

DOS(E_F), states/eV per cell: 8.5
Electronic total energy, eV per formula unit: -226.63
ΔH_f (0 K), meV/atom: -165

Entry 5:
The following is a DFT calculation (meta-GGA SCAN) of YMn3Pb at its PBEsol-relaxed geometry.

Unit cell a=4.868 b=4.868 c=4.868 alpha=90.00 beta=90.00 gamma=90.00
Space group Pm-3m (No. 221)
One atom of each set of equivalent atoms:
Y (0.000, 0.000, 0.000)
Mn (0.000, 0.000, 0.500)
Pb (0.500, 0.500, 0.500)

DOS(E_F), states/eV per cell: 4.0
Electronic total energy, eV per formula unit: -152.31
ΔH_f (0 K), meV/atom: 1216
Polymorph energy (0 for the lowest one), meV per atom: 652.3

Entry 6:
The following is a DFT calculation (meta-GGA SCAN) of SrTi2BeI at its PBEsol-relaxed geometry.

Unit cell a=5.098 b=5.098 c=5.755 alpha=90.00 beta=90.00 gamma=90.00
Space group P4/mmm (No. 123)
One atom of each set of equivalent atoms:
Sr (0.000, 0.000, 0.000)
Ti (0.000, 0.500, 0.000)
Be (0.500, 0.500, 0.500)
I (0.000, 0.000, 0.500)

E_form (uncorrected), eV/atom: 2.014
DOS(E_F), states/eV per cell: 5.3
Electronic total energy, eV per formula unit: -85.36

Entry 7:
The following is a DFT calculation (meta-GGA SCAN) of SbMo2S at its PBEsol-relaxed geometry.

Unit cell a=6.316 b=6.316 c=6.316 alpha=90.00 beta=90.00 gamma=90.00
Space group Fm-3m (No. 225)
One atom of each set of equivalent atoms:
Sb (0.000, 0.000, 0.000)
Mo (0.250, 0.250, 0.250)
S (0.000, 0.000, 0.500)

E_form (uncorrected), eV/atom: 0.337
DOS(E_F), states/eV per cell: 16.5
Electronic total energy, eV per formula unit: -115.31

Entry 8:
The following is a DFT calculation (meta-GGA SCAN) of FeHI3 at its PBEsol-relaxed geometry.

Unit cell a=5.347 b=5.347 c=5.347 alpha=90.00 beta=90.00 gamma=90.00
Space group Pm-3m (No. 221)
One atom of each set of equivalent atoms:
Fe (0.000, 0.000, 0.000)
H (0.500, 0.500, 0.500)
I (0.000, 0.000, 0.500)

DOS(E_F), states/eV per cell: 2.9
Electronic total energy, eV per formula unit: -129.24

Entry 9:
The following is a DFT calculation (meta-GGA SCAN) of Cd2Cu at its PBEsol-relaxed geometry.

Unit cell a=4.266 b=12.544 c=3.813 alpha=90.00 beta=90.00 gamma=90.00
Space group Cmmm (No. 65)
One atom of each set of equivalent atoms:
Cd (0.000, 0.000, 0.000)
Cd (0.000, 0.175, 0.500)
Cd (0.000, 0.500, 0.500)
Cu (0.000, 0.333, 0.000)

DOS(E_F), states/eV per cell: 2.5
Electronic total energy, eV per formula unit: -75.73
ΔH_f (0 K), meV/atom: 101

Entry 10:
The following is a DFT calculation (meta-GGA SCAN) of Cs2HgBiI6 at its PBEsol-relaxed geometry.

Unit cell a=12.170 b=12.170 c=12.170 alpha=90.00 beta=90.00 gamma=90.00
Space group Fm-3m (No. 225)
One atom of each set of equivalent atoms:
Cs (0.250, 0.250, 0.250)
Hg (0.000, 0.000, 0.000)
Bi (0.000, 0.000, 0.500)
I (0.000, 0.000, 0.249)

E_form (uncorrected), eV/atom: -0.893
DOS(E_F), states/eV per cell: 9.2
Electronic total energy, eV per formula unit: -451.75

Entry 11:
The following is a DFT calculation (meta-GGA SCAN) of NiIrRh at its PBEsol-relaxed geometry.

Unit cell a=4.1355 b=4.1355 c=2.6103 alpha=90.00 beta=90.00 gamma=120.00
Space group P3m1 (No. 156)
One atom of each set of equivalent atoms:
Ni (0.0000, 0.0000, 0.0000)
Ir (0.6667, 0.3333, 0.3744)
Rh (0.3333, 0.6667, 0.8713)

DOS(E_F), states/eV per cell: 4.4
Electronic total energy, eV per formula unit: -120.40
ΔH_f (0 K), meV/atom: 213
Polymorph energy (0 for the lowest one), meV per atom: 209.3

Entry 12:
The following is a DFT calculation (meta-GGA SCAN) of Mg9Si5 at its PBEsol-relaxed geometry.

Unit cell a=7.1396 b=7.1396 c=36.5964 alpha=90.00 beta=90.00 gamma=120.00
Space group R32 (No. 155, hexagonal axes)
One atom of each set of equivalent atoms:
Mg (0.0000, 0.2522, 0.0000)
Mg (0.0000, 0.7437, 0.5000)
Mg (0.0179, 0.7472, 0.3888)
Mg (0.0201, 0.4104, 0.5540)
Si (0.0000, 0.0000, 0.0578)
Si (0.0000, 0.0000, 0.1694)
Si (0.0000, 0.0000, 0.2646)
Si (0.0000, 0.0000, 0.3323)
Si (0.0000, 0.0000, 0.4441)

E_form (uncorrected), eV/atom: -0.108
DOS(E_F), states/eV per cell: 0.9
Electronic total energy, eV per formula unit: -96.35
Polymorph energy (0 for the lowest one), meV per atom: 10.8